(1)
Computed, not measured: a geometry-optimized CaZn2Ga2 structure at the PBE level of DFT.

Summary:
calculated density: 5.25 g cm⁻³

Cell lengths 7.7469, 7.7469, 3.2699 Å; angles 90.00, 90.00, 90.00 degrees
Last column: nearest neighbours and their distance in Å.
Fractional positions:
Ca1 0.0000 0.0000 0.0000  4 Zn 3.09, 2 Ca 3.27, 8 Ga 3.29
Ca2 0.5000 0.5000 0.0000  4 Zn 3.09, 2 Ca 3.27, 8 Ga 3.29
Zn1 0.1198 0.3802 0.0000  1 Zn 2.62, 6 Ga 2.76-2.85
Zn2 0.3802 0.8802 0.0000  1 Zn 2.62, 6 Ga 2.76-2.85
Zn3 0.6198 0.1198 0.0000  1 Zn 2.62, 6 Ga 2.76-2.85
Zn4 0.8802 0.6198 0.0000  1 Zn 2.62, 6 Ga 2.76-2.85
Ga1 0.1769 0.6769 0.5000  6 Zn 2.76-2.85
Ga2 0.3231 0.1769 0.5000  6 Zn 2.76-2.85
Ga3 0.6769 0.8231 0.5000  6 Zn 2.76-2.85
Ga4 0.8231 0.3231 0.5000  6 Zn 2.76-2.85



(2)
Computed, not measured: a geometry-optimized Ca6Zn2Ga structure at the PBE level of DFT.

Summary:
calculated density: 2.66 g cm⁻³

Cell lengths 8.9441, 8.9441, 8.9441 Å; angles 112.05, 109.37, 107.03 degrees
Last column: nearest neighbours and their distance in Å.
Fractional positions:
Ca1 0.0598 0.2497 0.8101  2 Zn 3.13-3.49, 2 Ga 3.30-3.31
Ca2 0.1771 0.2685 0.4456  3 Zn 3.22, 1 Ga 3.25
Ca3 0.1771 0.7315 0.9086  3 Zn 3.22, 1 Ga 3.25
Ca4 0.3314 0.0390 0.7076  3 Zn 3.05-3.15
Ca5 0.3314 0.6238 0.2924  3 Zn 3.05-3.15
Ca6 0.4396 0.2497 0.1899  2 Zn 3.13-3.49, 2 Ga 3.30-3.31
Ca7 0.5604 0.7503 0.8101  2 Zn 3.13-3.49, 2 Ga 3.30-3.31
Ca8 0.6686 0.3762 0.7076  3 Zn 3.05-3.15
Ca9 0.6686 0.9610 0.2924  3 Zn 3.05-3.15
Ca10 0.8229 0.2685 0.0914  3 Zn 3.22, 1 Ga 3.25
Ca11 0.8229 0.7315 0.5544  3 Zn 3.22, 1 Ga 3.25
Ca12 0.9402 0.7503 0.1899  2 Zn 3.13-3.49, 2 Ga 3.30-3.31
Zn1 0.1207 0.6207 0.5000  1 Zn 2.57
Zn2 0.3500 0.0000 0.3500  1 Zn 3.10, 8 Ca 3.13-3.22
Zn3 0.6500 0.0000 0.6500  1 Zn 3.10, 8 Ca 3.13-3.22
Zn4 0.8793 0.3793 0.5000  1 Zn 2.57
Ga1 0.0000 0.0000 0.0000  8 Ca 3.25-3.30, 2 Zn 3.62
Ga2 0.5000 0.5000 0.0000  8 Ca 3.31-3.43



(3)
Computed, not measured: a geometry-optimized Ca3Zn2Ga9 structure at the PBE level of DFT.

Summary:
calculated density: 5.27 g cm⁻³

Cell lengths 8.3778, 8.3778, 8.3778 Å; angles 149.90, 106.67, 81.26 degrees
Last column: nearest neighbours and their distance in Å.
Fractional positions:
Ca1 0.0000 0.0000 0.0000  12 Ga 3.24-3.31
Ca2 0.3108 0.3108 0.0000  2 Zn 3.12, 12 Ga 3.17-3.49
Ca3 0.6892 0.6892 0.0000  2 Zn 3.12, 12 Ga 3.17-3.49
Zn1 0.3009 0.5000 0.8009  8 Ga 2.65-2.95
Zn2 0.6991 0.5000 0.1991  8 Ga 2.65-2.95
Ga1 0.0290 0.6585 0.3705  4 Ga 2.59-2.69, 1 Zn 2.65
Ga2 0.1332 0.8568 0.2765  4 Ga 2.63-2.88, 2 Zn 2.85
Ga3 0.2880 0.6585 0.6295  4 Ga 2.59-2.69, 1 Zn 2.65
Ga4 0.4197 0.1432 0.2765  4 Ga 2.63-2.88, 2 Zn 2.85
Ga5 0.5000 0.0000 0.5000  4 Ga 2.88, 4 Zn 2.95
Ga6 0.5803 0.8568 0.7235  4 Ga 2.63-2.88, 2 Zn 2.85
Ga7 0.7120 0.3415 0.3705  4 Ga 2.59-2.69, 1 Zn 2.65
Ga8 0.8668 0.1432 0.7235  4 Ga 2.63-2.88, 2 Zn 2.85
Ga9 0.9710 0.3415 0.6295  4 Ga 2.59-2.69, 1 Zn 2.65



Computed ΔH_f (0 K), in the same sequence as the records: -0.141; -0.209; -0.366 eV per atom.
Computed DOS(E_F), in the same sequence as the records: 0.345; 0.998; 0.343 states/eV/atom.